Entry from Alexandria via LeMat-Bulk: a geometry-optimized CdTcP structure (PBE-GGA).

Computed properties:
space group: No. 107
polymorph energy (0 for the lowest one): 49 meV/atom

Cell and atoms, written as extended XYZ:
```
3
Lattice="-1.560 1.560 5.034 1.560 -1.560 5.034 1.560 1.560 -5.034" Properties=species:S:1:pos:R:3 pbc="T T T"
Tc 0.000 0.000 7.078
P 0.000 0.000 2.988
Cd 0.000 0.000 0.003
```


Entry from Alexandria via LeMat-Bulk: a geometry-optimized FePt5Rh2 structure (PBE-GGA).

Computed properties:
space group: No. 69

Cell and atoms, written as extended XYZ:
```
8
Lattice="4.524 -0.755 -1.370 -1.384 4.373 -1.370 0.234 0.269 6.181" Properties=species:S:1:pos:R:3 pbc="T T T"
Fe 0.000 0.000 0.000
Pt 2.712 0.141 0.515
Pt 3.616 1.182 2.925
Pt 1.570 1.809 -1.370
Pt 0.662 3.746 2.925
Pt -0.242 2.705 0.515
Rh 2.476 2.852 1.045
Rh 0.898 1.035 2.395
```


Number 1: ΔH_f (0 K) -15.1 kJ per mole of atoms, total DFT energy (no corrections) -5.720 eV per atom. Number 2: ΔH_f (0 K) -8.8 kJ per mole of atoms, total DFT energy (no corrections) -6.763 eV per atom.